Material: CaTcN3
Method: DFT, GGA-PBE
State: relaxed

The structure in CIF format:
```
data_CaTcN3
_chemical_formula_sum 'Ca1 Tc1 N3'
_cell_length_a 3.274
_cell_length_b 3.811
_cell_length_c 4.907
_cell_angle_alpha 90.00
_cell_angle_beta 90.00
_cell_angle_gamma 90.00
_space_group_name_H-M_alt 'P m m 2'
_space_group_IT_number 25
loop_
_space_group_symop_operation_xyz
'x,y,z'
'-x,-y,z'
'-x,y,z'
'x,-y,z'
loop_
_atom_site_label
_atom_site_type_symbol
_atom_site_fract_x
_atom_site_fract_y
_atom_site_fract_z
_atom_site_occupancy
Ca1 Ca 0.000 0.000 0.000 1
Tc1 Tc 0.500 0.500 0.586 1
N1 N 0.000 0.184 0.495 1
N2 N 0.500 0.500 0.949 1
```

* D(E_F): 0.1 states/eV/f.u.
* E: -7.71 eV/atom
* total moment: 0.0 Bohr magnetons per cell